Ce6GaOs: optimized geometry, PBE.

Formation energy   -0.086 eV per atom

Cell and atoms, written as POSCAR:
```
Ce6GaOs
1.0
12.642 0.000 0.000
0.000 5.085 0.000
-4.229 0.000 6.527
Ce Ga Os
12 2 2
direct
0.113 0.000 0.453
0.129 0.500 0.282
0.213 0.500 0.855
0.287 0.000 0.145
0.371 0.000 0.718
0.387 0.500 0.547
0.613 0.500 0.453
0.629 0.000 0.282
0.713 0.000 0.855
0.787 0.500 0.145
0.871 0.500 0.718
0.887 0.000 0.547
0.000 0.000 0.000
0.500 0.500 0.000
0.000 0.500 0.500
0.500 0.000 0.500
```

=====

Ce12GaOs7: optimized geometry, PBE.

Formation energy   -0.123 eV per atom

Cell and atoms, written as POSCAR:
```
Ce12GaOs7
1.0
7.130 4.116 2.777
-7.130 4.116 2.777
0.000 -8.233 2.777
Ce Ga Os
12 1 7
direct
0.104 0.299 0.407
0.145 0.650 0.287
0.287 0.145 0.650
0.299 0.407 0.104
0.350 0.713 0.855
0.407 0.104 0.299
0.593 0.896 0.701
0.650 0.287 0.145
0.701 0.593 0.896
0.713 0.855 0.350
0.855 0.350 0.713
0.896 0.701 0.593
0.000 0.000 0.000
0.031 0.907 0.273
0.093 0.727 0.969
0.273 0.031 0.907
0.500 0.500 0.500
0.727 0.969 0.093
0.907 0.273 0.031
0.969 0.093 0.727
```

=====

Ce4Ga12Os: optimized geometry, PBE.

Formation energy   -0.548 eV per atom

Cell and atoms, written as POSCAR:
```
Ce4Ga12Os
1.0
-4.355 4.355 4.355
4.355 -4.355 4.355
4.355 4.355 -4.355
Ce Ga Os
4 12 1
direct
0.000 0.000 0.500
0.000 0.500 0.000
0.500 0.000 0.000
0.500 0.500 0.500
0.000 0.292 0.292
0.000 0.708 0.708
0.250 0.500 0.750
0.250 0.750 0.500
0.292 0.000 0.292
0.292 0.292 0.000
0.500 0.250 0.750
0.500 0.750 0.250
0.708 0.000 0.708
0.708 0.708 0.000
0.750 0.250 0.500
0.750 0.500 0.250
0.000 0.000 0.000
```

=====

| no. | theoretical density (kg/m3) | total magnetic moment (Bohr magnetons per cell) |
| --- | --- | --- |
| 1 | 8711 | 2.5 |
| 2 | 10468 | 3.0 |
| 3 | 7977 | 0.0 |